Record 1
The following is a PBE calculation of a relaxed structure of Ce2PrHg8, from Alexandria.

Summary:
calculated formation energy = -303 meV per atom
E_tot = -2.0356 eV per atom
ΔE to the lowest computed polymorph = 0.0 kJ/mol of atoms
DOS at the Fermi energy = 17.9 states/eV/cell

a = 8.5008 Å, b = 8.5008 Å, c = 7.3868 Å
α = 109.41°, β = 109.41°, γ = 35.17°
Last column: nearest neighbours and their distance in Å.
Element x y z (fractional)
Ce (0.2077, 0.2077, 0.1491)  10 Hg 3.19-3.57
Ce (0.7923, 0.7923, 0.8509)  10 Hg 3.19-3.57
Pr (0.5000, 0.5000, 0.5000)  12 Hg 3.13-3.48
Hg (0.0188, 0.0188, 0.2256)  7 Hg 3.14-3.49, 1 Ce 3.30, 2 Pr 3.35
Hg (0.1527, 0.1527, 0.6668)  5 Hg 3.04-3.32, 3 Ce 3.36-3.38
Hg (0.3280, 0.3280, 0.6014)  4 Hg 3.04-3.32, 1 Pr 3.13, 3 Ce 3.23-3.33
Hg (0.4063, 0.4063, 0.0424)  4 Hg 3.06-3.31, 1 Pr 3.19, 2 Ce 3.19
Hg (0.5937, 0.5937, 0.9576)  4 Hg 3.06-3.31, 1 Pr 3.19, 2 Ce 3.19
Hg (0.6720, 0.6720, 0.3986)  4 Hg 3.04-3.32, 1 Pr 3.13, 3 Ce 3.23-3.33
Hg (0.8473, 0.8473, 0.3332)  5 Hg 3.04-3.32, 3 Ce 3.36-3.38
Hg (0.9812, 0.9812, 0.7744)  7 Hg 3.14-3.49, 1 Ce 3.30, 2 Pr 3.35

Record 2
The following is a PBE calculation of a relaxed structure of Ce2PrHg3, from Alexandria.

Summary:
calculated formation energy = -345 meV per atom
E_tot = -3.2709 eV per atom
DOS at the Fermi energy = 19.5 states/eV/cell

a = 3.8486 Å, b = 3.8486 Å, c = 11.4759 Å
α = 90.00°, β = 90.00°, γ = 90.00°
Last column: nearest neighbours and their distance in Å.
Element x y z (fractional)
Ce (0.0000, 0.0000, 0.1650)  8 Hg 3.32
Ce (0.0000, 0.0000, 0.8350)  8 Hg 3.32
Pr (0.0000, 0.0000, 0.5000)  8 Hg 3.34
Hg (0.5000, 0.5000, 0.0000)  8 Ce 3.32
Hg (0.5000, 0.5000, 0.3306)  4 Ce 3.32, 4 Pr 3.34
Hg (0.5000, 0.5000, 0.6694)  4 Ce 3.32, 4 Pr 3.34

> Which formula does entry 2 have?

Ce2PrHg3

> What is the formula in the second record?

Ce2PrHg3

Repeat the second record exactly.
The following is a PBE calculation of a relaxed structure of Ce2PrHg3, from Alexandria.

Summary:
calculated formation energy = -345 meV per atom
E_tot = -3.2709 eV per atom
DOS at the Fermi energy = 19.5 states/eV/cell

a = 3.8486 Å, b = 3.8486 Å, c = 11.4759 Å
α = 90.00°, β = 90.00°, γ = 90.00°
Last column: nearest neighbours and their distance in Å.
Element x y z (fractional)
Ce (0.0000, 0.0000, 0.1650)  8 Hg 3.32
Ce (0.0000, 0.0000, 0.8350)  8 Hg 3.32
Pr (0.0000, 0.0000, 0.5000)  8 Hg 3.34
Hg (0.5000, 0.5000, 0.0000)  8 Ce 3.32
Hg (0.5000, 0.5000, 0.3306)  4 Ce 3.32, 4 Pr 3.34
Hg (0.5000, 0.5000, 0.6694)  4 Ce 3.32, 4 Pr 3.34

> Look up the calculated formation energy of the first one.

-303 meV per atom